No. 1
# TbPrMgAg

A relaxed TbPrMgAg crystal (PBE, the Alexandria database). Values from VASP.

Results
Total DFT energy (no corrections) (eV per atom): -3.598
Energy relative to the lowest polymorph listed for this composition (eV/atom): 0.0502
Density (g/cm³): 6.59
DOS(E_F) (states/eV/atom): 1.2198
ΔE_f (eV per formula unit): -0.5

Cell and atoms, written as Quantum ESPRESSO input:
```
&SYSTEM
  ibrav = 0, nat = 4, ntyp = 4
/
ATOMIC_SPECIES
Pr 140.91 Pr.upf
Mg 24.30 Mg.upf
Tb 158.93 Tb.upf
Ag 107.87 Ag.upf
CELL_PARAMETERS angstrom
-1.5837 0.2312 5.1137
-1.7617 -4.4214 2.4616
2.9632 -2.2960 3.8288
ATOMIC_POSITIONS crystal
Pr 0.0000 0.0000 0.0000
Mg 0.7500 0.7500 0.7500
Tb 0.5000 0.5000 0.5000
Ag 0.2500 0.2500 0.2500
```

=====

No. 2
# CaEr2ScS4

A relaxed CaEr2ScS4 crystal (PBE, the Alexandria database). Values from VASP.

Results
Total DFT energy (no corrections) (eV per atom): -6.199
Formation energy (no corrections) (eV per atom): -1.953
Density (g/cm³): 5.61
DOS(E_F) (states/eV/atom): 0.3524

Cell and atoms, written as Quantum ESPRESSO input:
```
&SYSTEM
  ibrav = 0, nat = 8, ntyp = 4
/
ATOMIC_SPECIES
Ca 40.08 Ca.upf
Er 167.26 Er.upf
Sc 44.96 Sc.upf
S 32.06 S.upf
CELL_PARAMETERS angstrom
-0.6869 3.4194 -1.6201
-3.3544 -3.0140 -4.9392
-4.2351 1.4902 4.9409
ATOMIC_POSITIONS crystal
Ca 0.5000 0.5000 0.0000
Er 0.5000 0.0000 0.5000
Er 0.0000 0.5000 0.5000
Sc 0.0000 0.0000 0.0000
S 0.5000 0.2417 0.2443
S 0.5000 0.7583 0.7557
S 0.0000 0.2428 0.7496
S 0.0000 0.7572 0.2504
```

=====

No. 3
# GeAsIr3

A relaxed GeAsIr3 crystal (PBE, the Alexandria database). Values from VASP.

Results
Total DFT energy (no corrections) (eV per atom): -6.111
Energy relative to the lowest polymorph listed for this composition (eV/atom): 0.0000
Density (g/cm³): 12.32
DOS(E_F) (states/eV/atom): 0.5109
ΔE_f (eV per formula unit): 5.3

Cell and atoms, written as Quantum ESPRESSO input:
```
&SYSTEM
  ibrav = 0, nat = 5, ntyp = 3
/
ATOMIC_SPECIES
As 74.92 As.upf
Ir 192.22 Ir.upf
Ge 72.64 Ge.upf
CELL_PARAMETERS angstrom
4.6047 0.0000 0.0000
0.0000 4.6047 0.0000
0.0000 0.0000 4.6047
ATOMIC_POSITIONS crystal
As 0.0000 0.0000 0.0000
Ir 0.0000 0.5000 0.0000
Ir 0.0000 0.0000 0.5000
Ir 0.5000 0.0000 0.0000
Ge 0.5000 0.5000 0.5000
```

=====

No. 4
# ZrAs2Cl

A relaxed ZrAs2Cl crystal (PBE, the Alexandria database). Values from VASP.

Results
Total DFT energy (no corrections) (eV per atom): -4.995
Formation energy (no corrections) (eV per atom): -0.071
Energy relative to the lowest polymorph listed for this composition (eV/atom): 0.6610
Density (g/cm³): 5.82
DOS(E_F) (states/eV/atom): 0.8310

Cell and atoms, written as Quantum ESPRESSO input:
```
&SYSTEM
  ibrav = 0, nat = 4, ntyp = 3
/
ATOMIC_SPECIES
As 74.92 As.upf
Zr 91.22 Zr.upf
Cl 35.45 Cl.upf
CELL_PARAMETERS angstrom
5.1388 0.0000 0.0000
0.0000 5.1388 0.0000
0.0000 0.0000 2.9902
ATOMIC_POSITIONS crystal
As 0.0000 0.0000 0.0000
As 0.5000 0.5000 0.0000
Zr 0.0000 0.5000 0.5000
Cl 0.5000 0.0000 0.5000
```